[1]
A plane-wave DFT calculation with PBE-GGA was carried out for a geometry-optimized KY2Rh structure.

Computed properties:
Magnetic moment: 0.000 μB per formula unit
Relative energy among the computed polymorphs: 0.1869 eV/atom
Formation energy: -0.120 eV/atom

Lattice parameters (Å, degrees): 3.9151 3.9151 9.1985 90.00 90.00 90.00
Fractional coordinates of all 4 atoms:
K1 0.0000 0.0000 0.0000
Y1 0.0000 0.0000 0.3910
Y2 0.5000 0.5000 0.6391
Rh1 0.5000 0.5000 0.3485

[2]
A plane-wave DFT calculation with PBE-GGA was carried out for a geometry-optimized KY2Rh structure.

Computed properties:
Magnetic moment: 0.000 μB per formula unit
Relative energy among the computed polymorphs: 0.8353 eV/atom
Formation energy: 0.528 eV/atom

Lattice parameters (Å, degrees): 5.2983 5.2983 5.2983 60.00 60.00 60.00
Fractional coordinates of all 4 atoms:
K1 0.0000 0.0000 0.0000
Y1 0.2500 0.2500 0.2500
Y2 0.5000 0.5000 0.5000
Rh1 0.7500 0.7500 0.7500

[3]
A plane-wave DFT calculation with PBE-GGA was carried out for a geometry-optimized KYRh3 structure.

Computed properties:
Magnetic moment: 0.708 μB per formula unit
Relative energy among the computed polymorphs: 0.4616 eV/atom
Formation energy: 1.336 eV/atom

Lattice parameters (Å, degrees): 4.7501 4.7501 4.7501 90.00 90.00 90.00
Fractional coordinates of all 5 atoms:
K1 0.0000 0.0000 0.0000
Y1 0.5000 0.5000 0.5000
Rh1 0.0000 0.0000 0.5000
Rh2 0.0000 0.5000 0.0000
Rh3 0.5000 0.0000 0.0000

[4]
A plane-wave DFT calculation with PBE-GGA was carried out for a geometry-optimized KY3Rh structure.

Computed properties:
Magnetic moment: 0.000 μB per formula unit
Relative energy among the computed polymorphs: 0.0000 eV/atom
Formation energy: -0.133 eV/atom

Lattice parameters (Å, degrees): 5.5447 5.5447 5.5447 90.00 90.00 90.00
Fractional coordinates of all 5 atoms:
K1 0.0000 0.0000 0.0000
Y1 0.0000 0.5000 0.5000
Y2 0.5000 0.0000 0.5000
Y3 0.5000 0.5000 0.0000
Rh1 0.5000 0.5000 0.5000

Final energy values, unit eV per cell, following the record order: -21.86, -19.26, -22.94, -28.51.